#1
Li3BiH | the Alexandria database | meta-GGA SCAN | PBEsol geometry; crystal system = cubic; density of states at the Fermi level = 1.053 states/eV/cell
1.0
5.334 0.000 0.000
0.000 5.334 0.000
0.000 0.000 5.334
Bi Li H
1 3 1
Direct
0.000 0.000 0.000
0.500 0.000 0.000
0.000 0.500 0.000
0.000 0.000 0.500
0.500 0.500 0.500

---

#2
Li3BiH | the Alexandria database | meta-GGA SCAN | PBEsol geometry; crystal system = cubic; density of states at the Fermi level = 1.628 states/eV/cell
1.0
4.203 0.000 0.000
0.000 4.203 0.000
0.000 0.000 4.203
H Li Bi
1 3 1
Direct
0.000 0.000 0.000
0.000 0.500 0.000
0.500 0.000 0.000
0.000 0.000 0.500
0.500 0.500 0.500

---

Which of them is the most stable, and which is the least stable? #2 and #1, in that order.

---

#1
HfBi3Pb | the Alexandria database | meta-GGA SCAN | PBEsol geometry; crystal system = cubic; density of states at the Fermi level = 3.597 states/eV/cell
1.0
5.573 0.000 0.000
0.000 5.573 0.000
0.000 0.000 5.573
Pb Bi Hf
1 3 1
Direct
0.500 0.500 0.500
0.500 0.000 0.000
0.000 0.500 0.000
0.000 0.000 0.500
0.000 0.000 0.000

---

#2
HfBi3Pb | the Alexandria database | meta-GGA SCAN | PBEsol geometry; crystal system = cubic; density of states at the Fermi level = 5.577 states/eV/cell
1.0
-4.444 1.356 -3.241
2.911 -1.506 -4.621
-1.968 -5.290 0.484
Bi Pb Hf
3 1 1
Direct
0.000 0.500 0.000
0.000 0.000 0.500
0.500 0.000 0.000
0.000 0.000 0.000
0.500 0.500 0.500

---

Which of them is the most stable, and which is the least stable? #1 and #2, in that order.

---

#1
HfBi3Pd | the Alexandria database | meta-GGA SCAN | PBEsol geometry; crystal system = cubic; density of states at the Fermi level = 1.976 states/eV/cell
1.0
-3.497 2.773 -3.181
-2.723 -4.639 -1.051
-3.224 0.910 4.338
Hf Pd Bi
1 1 3
Direct
0.000 0.000 0.000
0.500 0.500 0.500
0.000 0.000 0.500
0.500 0.000 0.000
0.000 0.500 0.000

---

#2
HfBi3Pd | the Alexandria database | meta-GGA SCAN | PBEsol geometry; crystal system = cubic; density of states at the Fermi level = 3.101 states/eV/cell
1.0
5.233 0.000 0.000
0.000 5.233 0.000
0.000 0.000 5.233
Pd Bi Hf
1 3 1
Direct
0.000 0.000 0.000
0.000 0.000 0.500
0.000 0.500 0.000
0.500 0.000 0.000
0.500 0.500 0.500

---

Which of them is the most stable, and which is the least stable? #2 and #1, in that order.

---

#1
In2Hg2Bi | the Alexandria database | meta-GGA SCAN | PBEsol geometry; crystal system = tetragonal; density of states at the Fermi level = 1.941 states/eV/cell
1.0
-1.046 -4.024 0.572
1.382 -0.908 -3.858
6.756 1.066 4.454
In Hg Bi
2 2 1
Direct
0.401 0.401 0.802
0.599 0.599 0.198
0.250 0.750 0.500
0.750 0.250 0.500
0.000 0.000 0.000

---

#2
In2Hg2Bi | the Alexandria database | meta-GGA SCAN | PBEsol geometry; crystal system = tetragonal; density of states at the Fermi level = 4.384 states/eV/cell
1.0
3.462 0.000 0.000
0.000 8.609 0.000
0.000 0.000 8.609
Hg Bi In
4 2 4
Direct
0.000 0.161 0.339
0.000 0.661 0.161
0.000 0.339 0.839
0.000 0.839 0.661
0.000 0.500 0.500
0.000 0.000 0.000
0.500 0.138 0.638
0.500 0.362 0.138
0.500 0.862 0.362
0.500 0.638 0.862

---

Which of them is the most stable, and which is the least stable? #2 and #1, in that order.

---

#1
In2HgBi | the Alexandria database | meta-GGA SCAN | PBEsol geometry; crystal system = cubic; density of states at the Fermi level = 1.294 states/eV/cell
1.0
5.335 0.000 0.000
2.668 4.620 0.000
2.668 1.540 4.356
Hg In Bi
1 2 1
Direct
0.000 0.000 0.000
0.250 0.250 0.250
0.750 0.750 0.750
0.500 0.500 0.500

---

#2
In2HgBi | the Alexandria database | meta-GGA SCAN | PBEsol geometry; crystal system = tetragonal; density of states at the Fermi level = 3.985 states/eV/cell
1.0
6.289 0.000 0.000
3.144 5.864 0.000
3.144 0.000 5.864
In Bi Hg
4 2 2
Direct
0.615 0.010 0.510
0.375 0.490 0.010
0.875 0.510 0.990
0.135 0.990 0.490
0.750 0.500 0.500
0.000 0.000 0.000
0.500 0.000 0.000
0.250 0.500 0.500

---

Which of them is the most stable, and which is the least stable? #1 and #2, in that order.

---

#1
Hg3BiO | the Alexandria database | meta-GGA SCAN | PBEsol geometry; crystal system = cubic; density of states at the Fermi level = 3.982 states/eV/cell
1.0
4.784 0.000 0.000
0.000 4.784 0.000
0.000 0.000 4.784
Hg Bi O
3 1 1
Direct
0.000 0.500 0.000
0.500 0.000 0.000
0.000 0.000 0.500
0.500 0.500 0.500
0.000 0.000 0.000

---

#2
Hg3BiO | the Alexandria database | meta-GGA SCAN | PBEsol geometry; crystal system = cubic; density of states at the Fermi level = 9.730 states/eV/cell
1.0
-0.834 5.645 -1.182
-2.059 -1.407 -5.267
-5.387 -0.336 2.196
Hg Bi O
3 1 1
Direct
0.000 0.500 0.000
0.000 0.000 0.500
0.500 0.000 0.000
0.000 0.000 0.000
0.500 0.500 0.500

---

Which of them is the most stable, and which is the least stable? #1 and #2, in that order.

---

#1
HgBi2Pd2 | the Alexandria database | meta-GGA SCAN | PBEsol geometry; crystal system = tetragonal; density of states at the Fermi level = 2.445 states/eV/cell
1.0
-3.842 -0.662 0.146
0.642 -3.283 2.006
1.172 5.901 5.490
Pd Bi Hg
2 2 1
Direct
0.750 0.250 0.500
0.250 0.750 0.500
0.378 0.378 0.757
0.622 0.622 0.243
0.000 0.000 0.000

---

#2
HgBi2Pd2 | the Alexandria database | meta-GGA SCAN | PBEsol geometry; crystal system = tetragonal; density of states at the Fermi level = 3.914 states/eV/cell
1.0
-0.970 -0.684 -3.789
4.164 -6.038 0.024
-5.766 -3.968 2.192
Pd Bi Hg
4 4 2
Direct
0.000 0.864 0.636
0.000 0.136 0.364
0.000 0.636 0.136
0.000 0.364 0.864
0.500 0.162 0.662
0.500 0.838 0.338
0.500 0.662 0.838
0.500 0.338 0.162
0.000 0.500 0.500
0.000 0.000 0.000

---

Which of them is the most stable, and which is the least stable? #2 and #1, in that order.

---

#1
Rb2Hg2Bi | the Alexandria database | meta-GGA SCAN | PBEsol geometry; crystal system = tetragonal; density of states at the Fermi level = 0.859 states/eV/cell
1.0
-3.007 -4.339 -3.842
4.946 -2.239 3.627
-3.471 2.392 4.986
Hg Rb Bi
2 2 1
Direct
0.000 0.338 0.338
0.000 0.662 0.662
0.500 0.750 0.250
0.500 0.250 0.750
0.000 0.000 0.000

---

#2
Rb2Hg2Bi | the Alexandria database | meta-GGA SCAN | PBEsol geometry; crystal system = tetragonal; density of states at the Fermi level = 3.207 states/eV/cell
1.0
-2.273 -4.883 -1.115
-0.924 -1.367 7.872
-7.266 3.440 -0.255
Hg Rb Bi
4 4 2
Direct
0.000 0.870 0.630
0.000 0.370 0.870
0.000 0.130 0.370
0.000 0.630 0.130
0.500 0.821 0.321
0.500 0.679 0.821
0.500 0.179 0.679
0.500 0.321 0.179
0.000 0.000 0.000
0.000 0.500 0.500

---

Which of them is the most stable, and which is the least stable? #2 and #1, in that order.

---

#1
RbHgBi3 | the Alexandria database | meta-GGA SCAN | PBEsol geometry; crystal system = cubic; density of states at the Fermi level = 6.390 states/eV/cell
1.0
6.037 0.000 0.000
0.000 6.037 0.000
0.000 0.000 6.037
Bi Hg Rb
3 1 1
Direct
0.000 0.000 0.500
0.000 0.500 0.000
0.500 0.000 0.000
0.500 0.500 0.500
0.000 0.000 0.000

---

#2
RbHgBi3 | the Alexandria database | meta-GGA SCAN | PBEsol geometry; crystal system = cubic; density of states at the Fermi level = 3.398 states/eV/cell
1.0
-4.881 -0.180 -3.062
-3.047 -0.378 4.879
-0.353 5.749 0.224
Hg Bi Rb
1 3 1
Direct
0.000 0.000 0.000
0.500 0.000 0.000
0.000 0.000 0.500
0.000 0.500 0.000
0.500 0.500 0.500

---

Which of them is the most stable, and which is the least stable? #2 and #1, in that order.

---

#1
Tl2Hg2Bi | the Alexandria database | meta-GGA SCAN | PBEsol geometry; crystal system = tetragonal; density of states at the Fermi level = 2.198 states/eV/cell
1.0
4.034 0.000 0.000
0.000 4.034 0.000
-2.017 -2.017 8.948
Hg Tl Bi
2 2 1
Direct
0.250 0.750 0.500
0.750 0.250 0.500
0.400 0.400 0.800
0.600 0.600 0.200
0.000 0.000 0.000

---

#2
Tl2Hg2Bi | the Alexandria database | meta-GGA SCAN | PBEsol geometry; crystal system = tetragonal; density of states at the Fermi level = 4.125 states/eV/cell
1.0
4.704 0.000 0.000
0.000 7.744 0.000
0.000 0.000 7.744
Bi Tl Hg
2 4 4
Direct
0.000 0.500 0.500
0.000 0.000 0.000
0.500 0.826 0.326
0.500 0.326 0.174
0.500 0.674 0.826
0.500 0.174 0.674
0.000 0.631 0.131
0.000 0.869 0.631
0.000 0.369 0.869
0.000 0.131 0.369

---

Which of them is the most stable, and which is the least stable? #2 and #1, in that order.

---

#1
Bi2Sb2I | the Alexandria database | meta-GGA SCAN | PBEsol geometry; crystal system = tetragonal; density of states at the Fermi level = 2.209 states/eV/cell
1.0
-4.356 -0.868 -2.836
1.700 -4.860 -1.122
-1.545 0.687 7.060
Sb Bi I
2 2 1
Direct
0.625 0.625 0.249
0.375 0.375 0.751
0.250 0.750 0.500
0.750 0.250 0.500
0.000 0.000 0.000

---

#2
Bi2Sb2I | the Alexandria database | meta-GGA SCAN | PBEsol geometry; crystal system = tetragonal; density of states at the Fermi level = 1.871 states/eV/cell
1.0
-1.689 4.745 -0.037
-3.571 -1.245 3.328
6.914 -0.185 3.537
Bi I Sb
2 1 2
Direct
0.626 0.626 0.253
0.374 0.374 0.747
0.000 0.000 0.000
0.250 0.750 0.500
0.750 0.250 0.500

---

Which of them is the most stable, and which is the least stable? #2 and #1, in that order.

---

#1
ScBi3I | the Alexandria database | meta-GGA SCAN | PBEsol geometry; crystal system = cubic; density of states at the Fermi level = 4.961 states/eV/cell
1.0
-2.400 -1.275 -4.835
4.999 -0.714 -2.293
-0.095 -5.350 1.459
Bi I Sc
3 1 1
Direct
0.000 0.500 0.000
0.000 0.000 0.500
0.500 0.000 0.000
0.500 0.500 0.500
0.000 0.000 0.000

---

#2
ScBi3I | the Alexandria database | meta-GGA SCAN | PBEsol geometry; crystal system = cubic; density of states at the Fermi level = 6.480 states/eV/cell
1.0
-5.269 -2.230 -0.770
-0.744 -0.219 5.721
-2.239 5.321 -0.087
Bi I Sc
3 1 1
Direct
0.500 0.000 0.000
0.000 0.000 0.500
0.000 0.500 0.000
0.000 0.000 0.000
0.500 0.500 0.500

---

Which of them is the most stable, and which is the least stable? #1 and #2, in that order.

---

#1
Mg3InBi | the Alexandria database | meta-GGA SCAN | PBEsol geometry; crystal system = cubic; density of states at the Fermi level = 2.946 states/eV/cell
1.0
5.252 0.000 0.000
0.000 5.252 0.000
0.000 0.000 5.252
In Mg Bi
1 3 1
Direct
0.000 0.000 0.000
0.500 0.000 0.000
0.000 0.000 0.500
0.000 0.500 0.000
0.500 0.500 0.500

---

#2
Mg3InBi | the Alexandria database | meta-GGA SCAN | PBEsol geometry; crystal system = cubic; density of states at the Fermi level = 3.215 states/eV/cell
1.0
-3.757 2.552 3.070
-1.047 -4.698 2.625
3.853 1.212 3.706
Mg Bi In
3 1 1
Direct
0.000 0.000 0.500
0.500 0.000 0.000
0.000 0.500 0.000
0.000 0.000 0.000
0.500 0.500 0.500

---

Which of them is the most stable, and which is the least stable? #1 and #2, in that order.

---

#1
K3Bi | the Alexandria database | meta-GGA SCAN | PBEsol geometry; crystal system = hexagonal; density of states at the Fermi level = 4.064 states/eV/cell
1.0
6.110 0.000 0.000
-3.055 5.291 0.000
0.000 0.000 10.871
K Bi
6 2
Direct
0.333 0.667 0.581
0.000 0.000 0.250
0.667 0.333 0.081
0.667 0.333 0.419
0.333 0.667 0.919
0.000 0.000 0.750
0.667 0.333 0.750
0.333 0.667 0.250

---

#2
K3Bi | the Alexandria database | meta-GGA SCAN | PBEsol geometry; crystal system = cubic
1.0
-1.814 -0.440 5.746
-5.731 -1.445 1.257
-1.306 -5.411 2.350
K Bi
3 1
Direct
0.750 0.750 0.750
0.500 0.500 0.500
0.250 0.250 0.250
0.000 0.000 0.000

---

Which of them is the most stable, and which is the least stable? #1 and #2, in that order.